VASP calculation (GGA-PBE) on a geometry-optimized BeTeIN2 structure.

Structure (POSCAR):
```
BeTeIN2
1.0
4.0525 0.0000 0.0000
0.0000 4.0525 0.0000
0.0000 0.0000 4.9548
Te N Be I
1 2 1 1
Direct
0.5000 0.5000 0.5000 Te
0.0000 0.5000 0.0000 N
0.5000 0.0000 0.0000 N
0.0000 0.0000 0.0000 Be
0.0000 0.0000 0.5000 I
```

Summary:
M_tot in μB per formula unit: 0.0
E above lowest polymorph in eV per atom: 0.167

***

VASP calculation (GGA-PBE) on a geometry-optimized Ac2ThHg3 structure.

Structure (POSCAR):
```
Ac2ThHg3
1.0
3.9630 0.0000 0.0000
0.0000 3.9630 0.0000
0.0000 0.0000 11.9377
Th Hg Ac
1 3 2
Direct
0.5000 0.5000 0.5000 Th
0.0000 0.0000 0.0000 Hg
0.0000 0.0000 0.3490 Hg
0.0000 0.0000 0.6510 Hg
0.5000 0.5000 0.1742 Ac
0.5000 0.5000 0.8258 Ac
```

Summary:
M_tot in μB per formula unit: 0.5
Formation energy in eV/atom: -0.358

***

VASP calculation (GGA-PBE) on a geometry-optimized Ho2Ga5Co2Pd structure.

Structure (POSCAR):
```
Ho2Ga5Co2Pd
1.0
4.0198 0.0000 0.0000
0.0000 9.1131 0.0000
0.0000 0.0000 9.1131
Co Ga Ho Pd
4 10 4 2
Direct
0.0000 0.1124 0.6124 Co
0.0000 0.6124 0.8876 Co
0.0000 0.8876 0.3876 Co
0.0000 0.3876 0.1124 Co
0.5000 0.2081 0.0615 Ga
0.5000 0.7919 0.9385 Ga
0.5000 0.7081 0.4385 Ga
0.5000 0.2919 0.5615 Ga
0.5000 0.0000 0.5000 Ga
0.5000 0.5615 0.7081 Ga
0.5000 0.5000 0.0000 Ga
0.5000 0.9385 0.2081 Ga
0.5000 0.0615 0.7919 Ga
0.5000 0.4385 0.2919 Ga
0.0000 0.3187 0.8187 Ho
0.0000 0.1813 0.3187 Ho
0.0000 0.8187 0.6813 Ho
0.0000 0.6813 0.1813 Ho
0.0000 0.5000 0.5000 Pd
0.0000 0.0000 0.0000 Pd
```

Summary:
M_tot in μB per formula unit: 0.0
Formation energy in eV/atom: -0.476

***

VASP calculation (GGA-PBE) on a geometry-optimized TcMo2Ru structure.

Structure (POSCAR):
```
TcMo2Ru
1.0
4.8449 0.0087 0.0000
1.7081 4.5338 0.0000
-3.2765 -2.2712 2.7530
Tc Ru Mo
1 1 2
Direct
0.7500 0.2500 0.5000 Tc
0.5000 0.5000 0.0000 Ru
0.2500 0.7500 0.5000 Mo
0.0000 0.0000 0.0000 Mo
```

Summary:
M_tot in μB per formula unit: 0.0
Formation energy in eV/atom: 0.145
E above lowest polymorph in eV per atom: 0.043

***

VASP calculation (GGA-PBE) on a geometry-optimized K2TlPbCl6 structure.

Structure (POSCAR):
```
K2TlPbCl6
1.0
7.5052 0.0000 -0.0462
0.0000 7.9418 0.0000
-0.0002 0.0000 10.8419
Cl Pb Tl K
12 2 2 4
Direct
0.3042 0.6975 0.4373 Cl
0.6958 0.3025 0.5627 Cl
0.1958 0.1975 0.0627 Cl
0.1211 0.4571 0.7490 Cl
0.3789 0.9571 0.7510 Cl
0.8066 0.7989 0.5633 Cl
0.1934 0.2011 0.4367 Cl
0.6934 0.2989 0.9367 Cl
0.6211 0.0429 0.2490 Cl
0.8042 0.8025 0.9373 Cl
0.8789 0.5429 0.2510 Cl
0.3066 0.7011 0.0633 Cl
0.5000 0.0000 0.0000 Pb
0.0000 0.5000 0.5000 Pb
0.0000 0.5000 0.0000 Tl
0.5000 0.0000 0.5000 Tl
0.0276 0.9243 0.2491 K
0.5276 0.5757 0.7491 K
0.9724 0.0757 0.7509 K
0.4724 0.4243 0.2509 K
```

Summary:
M_tot in μB per formula unit: 0.0
Final energy in eV/atom: -3.29

***

VASP calculation (GGA-PBE) on a geometry-optimized CuAgOs2 structure.

Structure (POSCAR):
```
CuAgOs2
1.0
4.6593 0.0043 -0.0057
3.8607 2.6085 -0.0057
0.7027 0.2155 4.8646
Cu Os Ag
1 2 1
Direct
0.7460 0.7460 0.7358 Cu
0.2557 0.2557 0.2042 Os
0.9995 0.9995 0.0305 Os
0.4988 0.4988 0.5295 Ag
```

Summary:
M_tot in μB per formula unit: 0.0
Formation energy in eV/atom: 0.490
E above lowest polymorph in eV per atom: 0.181

***

VASP calculation (GGA-PBE) on a geometry-optimized UPaS2 structure.

Structure (POSCAR):
```
UPaS2
1.0
3.6416 0.0000 0.0000
1.8208 3.1537 0.0000
1.8208 1.0512 8.7130
Pa S U
1 2 1
Direct
0.0000 0.0000 0.0000 Pa
0.8990 0.8990 0.3029 S
0.1010 0.1010 0.6971 S
0.5000 0.5000 0.5000 U
```

Summary:
M_tot in μB per formula unit: 2.7
E above lowest polymorph in eV per atom: 0.694

***

VASP calculation (GGA-PBE) on a geometry-optimized KLiTc4 structure.

Structure (POSCAR):
```
KLiTc4
1.0
0.0000 3.7671 3.7671
3.7671 0.0000 3.7671
3.7671 3.7671 0.0000
Tc K Li
4 1 1
Direct
0.3749 0.3749 0.3749 Tc
0.8752 0.3749 0.3749 Tc
0.3749 0.8752 0.3749 Tc
0.3749 0.3749 0.8752 Tc
0.7500 0.7500 0.7500 K
0.0000 0.0000 0.0000 Li
```

Summary:
M_tot in μB per formula unit: 0.0
Formation energy in eV/atom: 0.968